# Mn3Zn (GGA-PBEsol, optimized geometry)
# - formation energy (eV per atom) = 0.20
data_Mn3Zn
_chemical_formula_sum 'Mn3 Zn1'
_cell_length_a 2.564
_cell_length_b 4.088
_cell_length_c 4.347
_cell_angle_alpha 90.00
_cell_angle_beta 90.00
_cell_angle_gamma 90.00
_symmetry_space_group_name_H-M 'P m m 2'
_symmetry_Int_Tables_number 25
_symmetry_space_group_name_Hall 'P 2 -2'
loop_
_atom_site_label
_atom_site_fract_x
_atom_site_fract_y
_atom_site_fract_z
Mn1 0.000 0.000 0.000
Mn2 0.000 0.500 0.338
Mn3 0.500 0.000 0.494
Zn1 0.500 0.500 0.839



# ZrMnZn (GGA-PBEsol, optimized geometry)
# - formation energy (eV per atom) = 0.05
data_ZrMnZn
_chemical_formula_sum 'Zr1 Mn1 Zn1'
_cell_length_a 4.3157
_cell_length_b 4.3157
_cell_length_c 3.0231
_cell_angle_alpha 90.00
_cell_angle_beta 90.00
_cell_angle_gamma 120.00
_symmetry_space_group_name_H-M 'P -6 m 2'
_symmetry_Int_Tables_number 187
_symmetry_space_group_name_Hall 'P -6 2'
loop_
_atom_site_label
_atom_site_fract_x
_atom_site_fract_y
_atom_site_fract_z
Zr1 0.0000 0.0000 0.0000
Mn1 0.6667 0.3333 0.5000
Zn1 0.3333 0.6667 0.5000



# ZrMn2Zn (GGA-PBEsol, optimized geometry)
# - formation energy (eV per atom) = 0.07
data_ZrMn2Zn
_chemical_formula_sum 'Zr2 Mn4 Zn2'
_cell_length_a 3.756
_cell_length_b 3.756
_cell_length_c 8.224
_cell_angle_alpha 90.00
_cell_angle_beta 90.00
_cell_angle_gamma 90.00
_symmetry_space_group_name_H-M 'I -4 m 2'
_symmetry_Int_Tables_number 119
_symmetry_space_group_name_Hall 'I -4 -2'
loop_
_atom_site_label
_atom_site_fract_x
_atom_site_fract_y
_atom_site_fract_z
Zr1 0.000 0.000 0.000
Mn1 0.000 0.000 0.500
Mn2 0.000 0.500 0.750
Zn1 0.000 0.500 0.250



# ZrMnZn2 (GGA-PBEsol, optimized geometry)
# - formation energy (eV per atom) = 0.16
data_ZrMnZn2
_chemical_formula_sum 'Zr3 Mn3 Zn6'
_cell_length_a 2.8875
_cell_length_b 2.8875
_cell_length_c 26.6519
_cell_angle_alpha 90.00
_cell_angle_beta 90.00
_cell_angle_gamma 120.00
_symmetry_space_group_name_H-M 'R -3 m'
_symmetry_Int_Tables_number 166
_symmetry_space_group_name_Hall '-R 3 2"'
loop_
_atom_site_label
_atom_site_fract_x
_atom_site_fract_y
_atom_site_fract_z
Zr1 0.0000 0.0000 0.0000
Mn1 0.0000 0.0000 0.5000
Zn1 0.0000 0.0000 0.2419



# Zr2MnZn (GGA-PBEsol, optimized geometry)
# - formation energy (eV per atom) = -0.18
data_Zr2MnZn
_chemical_formula_sum 'Zr2 Mn1 Zn1'
_cell_length_a 3.207
_cell_length_b 3.207
_cell_length_c 6.494
_cell_angle_alpha 90.00
_cell_angle_beta 90.00
_cell_angle_gamma 90.00
_symmetry_space_group_name_H-M 'P 4/m m m'
_symmetry_Int_Tables_number 123
_symmetry_space_group_name_Hall '-P 4 2'
loop_
_atom_site_label
_atom_site_fract_x
_atom_site_fract_y
_atom_site_fract_z
Zr1 0.000 0.000 0.233
Mn1 0.500 0.500 0.000
Zn1 0.500 0.500 0.500



# ZrMnZn (GGA-PBEsol, optimized geometry)
# - formation energy (eV per atom) = 0.01
data_ZrMnZn
_chemical_formula_sum 'Zr2 Mn2 Zn2'
_cell_length_a 3.274
_cell_length_b 3.274
_cell_length_c 8.853
_cell_angle_alpha 90.00
_cell_angle_beta 90.00
_cell_angle_gamma 90.00
_symmetry_space_group_name_H-M 'I 4 m m'
_symmetry_Int_Tables_number 107
_symmetry_space_group_name_Hall 'I 4 -2'
loop_
_atom_site_label
_atom_site_fract_x
_atom_site_fract_y
_atom_site_fract_z
Zr1 0.000 0.000 0.000
Mn1 0.000 0.000 0.673
Zn1 0.000 0.000 0.314



# Zr2Mn (GGA-PBEsol, optimized geometry)
# - formation energy (eV per atom) = -0.01
data_Zr2Mn
_chemical_formula_sum 'Zr8 Mn4'
_cell_length_a 3.198
_cell_length_b 13.809
_cell_length_c 4.821
_cell_angle_alpha 90.00
_cell_angle_beta 90.00
_cell_angle_gamma 90.00
_symmetry_space_group_name_H-M 'C m c m'
_symmetry_Int_Tables_number 63
_symmetry_space_group_name_Hall '-C 2c 2'
loop_
_atom_site_label
_atom_site_fract_x
_atom_site_fract_y
_atom_site_fract_z
Zr1 0.000 0.073 0.250
Zr2 0.000 0.222 0.750
Mn1 0.000 0.425 0.250



# ZrMn2 (GGA-PBEsol, optimized geometry)
# - formation energy (eV per atom) = -0.17
data_ZrMn2
_chemical_formula_sum 'Zr8 Mn16'
_cell_length_a 4.8695
_cell_length_b 4.8695
_cell_length_c 16.0959
_cell_angle_alpha 90.00
_cell_angle_beta 90.00
_cell_angle_gamma 120.00
_symmetry_space_group_name_H-M 'P 63/m m c'
_symmetry_Int_Tables_number 194
_symmetry_space_group_name_Hall '-P 6c 2c'
loop_
_atom_site_label
_atom_site_fract_x
_atom_site_fract_y
_atom_site_fract_z
Zr1 0.0000 0.0000 0.0933
Zr2 0.3333 0.6667 0.1563
Mn1 0.0000 0.5000 0.0000
Mn2 0.1640 0.3281 0.7500
Mn3 0.3333 0.6667 0.6253



# Zr6Mn7 (GGA-PBEsol, optimized geometry)
# - formation energy (eV per atom) = -0.09
data_Zr6Mn7
_chemical_formula_sum 'Zr18 Mn21'
_cell_length_a 4.8695
_cell_length_b 4.8695
_cell_length_c 28.7085
_cell_angle_alpha 90.00
_cell_angle_beta 90.00
_cell_angle_gamma 120.00
_symmetry_space_group_name_H-M 'R -3 m'
_symmetry_Int_Tables_number 166
_symmetry_space_group_name_Hall '-R 3 2"'
loop_
_atom_site_label
_atom_site_fract_x
_atom_site_fract_y
_atom_site_fract_z
Zr1 0.0000 0.0000 0.0504
Zr2 0.0000 0.0000 0.1508
Zr3 0.0000 0.0000 0.3331
Mn1 0.0000 0.0000 0.5000
Mn2 0.0016 0.5008 0.9048



# ZrMn4 (GGA-PBEsol, optimized geometry)
# - formation energy (eV per atom) = 0.19
data_ZrMn4
_chemical_formula_sum 'Zr2 Mn8'
_cell_length_a 5.370
_cell_length_b 5.370
_cell_length_c 4.381
_cell_angle_alpha 90.00
_cell_angle_beta 90.00
_cell_angle_gamma 90.00
_symmetry_space_group_name_H-M 'I 4/m'
_symmetry_Int_Tables_number 87
_symmetry_space_group_name_Hall '-I 4'
loop_
_atom_site_label
_atom_site_fract_x
_atom_site_fract_y
_atom_site_fract_z
Zr1 0.000 0.000 0.000
Mn1 0.023 0.297 0.500



Number 1: size of the total moment 0.300 μB per atom. Number 2: size of the total moment 0.912 μB per atom. Number 3: size of the total moment 1.172 μB per atom. Number 4: size of the total moment 0.786 μB per atom. Number 5: size of the total moment 0.000 μB per atom. Number 6: size of the total moment 0.697 μB per atom. Number 7: size of the total moment 0.000 μB per atom. Number 8: size of the total moment 0.415 μB per atom. Number 9: size of the total moment 0.002 μB per atom. Number 10: size of the total moment 0.013 μB per atom.